K2Na2As after structural relaxation. Source: Alexandria, functional GGA-PBE.

```
K2Na2As
1.0
7.776 0.000 0.000
0.000 7.776 0.000
0.000 0.000 6.036
K Na As
4 4 2
direct
0.203 0.297 0.000 K
0.297 0.797 0.000 K
0.703 0.203 0.000 K
0.797 0.703 0.000 K
0.160 0.660 0.500 Na
0.340 0.160 0.500 Na
0.660 0.840 0.500 Na
0.840 0.340 0.500 Na
0.000 0.000 0.500 As
0.500 0.500 0.500 As
```

total magnetic moment	0.166	μB/atom
E_tot	-2.044	eV per atom
space group	P4/mbm, No. 127
energy relative to the elements	-0.74	eV/f.u.